# 1
Computed, not measured: an optimized crystal structure of TlIrOs at the PBE-GGA level of DFT.

```
TlIrOs
1.0
0.000 3.092 3.092
3.092 0.000 3.092
3.092 3.092 0.000
Tl Ir Os
1 1 1
Direct
0.000 0.000 0.000
0.750 0.750 0.750
0.500 0.500 0.500
```

## Properties
Polymorph energy (0 for the lowest one) (eV per formula unit): 0.98
Spin magnetization (μB/cell): 0.001
Total energy (eV/atom): -6.565
Crystal system: cubic

# 2
Computed, not measured: an optimized crystal structure of SrFe2Re at the PBE-GGA level of DFT.

```
SrFe2Re
1.0
2.934 0.000 0.000
0.000 3.418 0.000
-0.017 0.000 7.157
Sr Fe Re
1 2 1
Direct
0.000 0.000 0.000
0.500 0.500 0.333
0.500 0.500 0.667
0.000 0.000 0.500
```

## Properties
Polymorph energy (0 for the lowest one) (eV per formula unit): 0.64
Spin magnetization (μB/cell): 3.352
Total energy (eV/atom): -7.195
Crystal system: monoclinic